[1]
Computed, not measured: GaRu after structural relaxation at the PBE level of DFT.

Cell: 7.629 7.629 7.629 Å, 90.00 90.00 90.00°
Positions (direct):
Ga1 0.196 0.196 0.196
Ga2 0.196 0.804 0.804
Ga3 0.804 0.196 0.804
Ga4 0.804 0.804 0.196
Ga5 0.696 0.696 0.696
Ga6 0.696 0.304 0.304
Ga7 0.304 0.696 0.304
Ga8 0.304 0.304 0.696
Ru1 0.380 0.380 0.380
Ru2 0.380 0.620 0.620
Ru3 0.620 0.380 0.620
Ru4 0.620 0.620 0.380
Ru5 0.880 0.880 0.880
Ru6 0.880 0.120 0.120
Ru7 0.120 0.880 0.120
Ru8 0.120 0.120 0.880

Output
Energy of formation ... 0.788 eV/atom

[2]
Computed, not measured: GaRuS2 after structural relaxation at the PBE level of DFT.

Cell: 7.721 7.721 7.721 Å, 26.50 26.50 26.50°
Positions (direct):
Ru1 0.500 0.500 0.500
S1 0.887 0.887 0.887
S2 0.113 0.113 0.113
Ga1 0.000 0.000 0.000

Output
E_form (uncorrected) ... -0.1390 eV per atom
ΔE to the lowest computed polymorph ... 48 meV/atom

[3]
Computed, not measured: GaRuS2 after structural relaxation at the PBE level of DFT.

Cell: 4.379 4.379 4.379 Å, 60.00 60.00 60.00°
Positions (direct):
Ru1 0.500 0.500 0.500
S1 0.250 0.250 0.250
S2 0.750 0.750 0.750
Ga1 0.000 0.000 0.000

Output
E_form (uncorrected) ... 0.2259 eV per atom
ΔE to the lowest computed polymorph ... 413 meV/atom

[4]
Computed, not measured: GaRuS3 after structural relaxation at the PBE level of DFT.

Cell: 4.556 4.556 4.556 Å, 90.00 90.00 90.00°
Positions (direct):
Ru1 0.500 0.500 0.500
S1 0.000 0.500 0.000
S2 0.000 0.000 0.500
S3 0.500 0.000 0.000
Ga1 0.000 0.000 0.000

Output
E_form (uncorrected) ... 0.9767 eV per atom
ΔE to the lowest computed polymorph ... 689 meV/atom

[5]
Computed, not measured: Ga3RuS after structural relaxation at the PBE level of DFT.

Cell: 4.720 4.720 4.720 Å, 90.00 90.00 90.00°
Each line ends with the local moment (μB).
Positions (direct):
Ru1 0.500 0.500 0.500  1.81
S1 0.000 0.000 0.000  -0.06
Ga1 0.000 0.500 0.000  -0.02
Ga2 0.000 0.000 0.500  0.01
Ga3 0.500 0.000 0.000  -0.03

Output
E_form (uncorrected) ... 0.8634 eV per atom
ΔE to the lowest computed polymorph ... 732 meV/atom

[6]
Computed, not measured: Ga2RuS after structural relaxation at the PBE level of DFT.

Cell: 4.423 4.423 4.423 Å, 60.00 60.00 60.00°
Positions (direct):
Ru1 0.500 0.500 0.500
S1 0.000 0.000 0.000
Ga1 0.250 0.250 0.250
Ga2 0.750 0.750 0.750

Output
E_form (uncorrected) ... 0.3910 eV per atom
ΔE to the lowest computed polymorph ... 166 meV/atom

[7]
Computed, not measured: GaRuS after structural relaxation at the PBE level of DFT.

Cell: 3.117 3.117 12.937 Å, 83.08 83.08 60.00°
Positions (direct):
Ru1 0.582 0.582 0.253
Ru2 0.418 0.418 0.747
S1 0.285 0.285 0.145
S2 0.715 0.715 0.855
Ga1 0.863 0.863 0.412
Ga2 0.137 0.137 0.588

Output
E_form (uncorrected) ... -0.2852 eV per atom

[8]
Computed, not measured: Ga3RuS after structural relaxation at the PBE level of DFT.

Cell: 4.785 4.785 4.785 Å, 90.00 90.00 90.00°
Positions (direct):
Ru1 0.000 0.000 0.000
S1 0.500 0.500 0.500
Ga1 0.000 0.500 0.000
Ga2 0.000 0.000 0.500
Ga3 0.500 0.000 0.000

Output
E_form (uncorrected) ... 0.1318 eV per atom
ΔE to the lowest computed polymorph ... 0 meV/atom

[9]
Computed, not measured: GaRuS3 after structural relaxation at the PBE level of DFT.

Cell: 4.660 4.660 4.660 Å, 90.00 90.00 90.00°
Positions (direct):
Ru1 0.000 0.000 0.000
S1 0.000 0.500 0.000
S2 0.000 0.000 0.500
S3 0.500 0.000 0.000
Ga1 0.500 0.500 0.500

Output
E_form (uncorrected) ... 0.2879 eV per atom
ΔE to the lowest computed polymorph ... 0 meV/atom

[10]
Computed, not measured: GaRu4S2 after structural relaxation at the PBE level of DFT.

Cell: 4.481 4.481 6.846 Å, 70.90 70.90 90.00°
Each line ends with the local moment (μB).
Positions (direct):
Ru1 0.787 0.787 0.427  0.83
Ru2 0.213 0.213 0.573  0.83
Ru3 0.000 0.500 0.000  0.46
Ru4 0.500 0.000 0.000  0.46
S1 0.611 0.611 0.778  0.03
S2 0.389 0.389 0.222  0.03
Ga1 0.000 0.000 0.000  -0.02

Output
E_form (uncorrected) ... 0.9661 eV per atom

[11]
Computed, not measured: Ga2RuS after structural relaxation at the PBE level of DFT.

Cell: 5.741 5.741 6.761 Å, 64.88 64.88 90.00°
Positions (direct):
Ru1 0.000 0.000 0.000
Ru2 0.750 0.250 0.500
S1 0.500 0.500 0.000
S2 0.250 0.750 0.500
Ga1 0.632 0.125 0.250
Ga2 0.118 0.625 0.250
Ga3 0.375 0.368 0.750
Ga4 0.875 0.882 0.750

Output
E_form (uncorrected) ... 0.2249 eV per atom
ΔE to the lowest computed polymorph ... 0 meV/atom

[12]
Computed, not measured: GaRuS2 after structural relaxation at the PBE level of DFT.

Cell: 5.378 5.378 6.608 Å, 65.99 65.99 90.00°
Positions (direct):
Ru1 0.000 0.000 0.000
Ru2 0.750 0.250 0.500
S1 0.643 0.125 0.250
S2 0.107 0.625 0.250
S3 0.375 0.357 0.750
S4 0.875 0.893 0.750
Ga1 0.500 0.500 0.000
Ga2 0.250 0.750 0.500

Output
E_form (uncorrected) ... -0.1868 eV per atom
ΔE to the lowest computed polymorph ... 0 meV/atom

[13]
Computed, not measured: ScGa2RuS after structural relaxation at the PBE level of DFT.

Cell: 4.856 4.271 4.856 Å, 90.00 90.00 90.00°
Positions (direct):
Sc1 0.500 0.500 0.500
Ru1 0.000 0.500 0.000
S1 0.000 0.000 0.000
Ga1 0.000 0.000 0.500
Ga2 0.500 0.000 0.000

Output
E_form (uncorrected) ... 0.2283 eV per atom

[14]
Computed, not measured: Th4GaRuS2 after structural relaxation at the PBE level of DFT.

Cell: 4.134 7.230 7.285 Å, 70.94 90.00 90.00°
Positions (direct):
Th1 0.000 0.738 0.765
Th2 0.000 0.262 0.235
Th3 0.500 0.748 0.235
Th4 0.500 0.252 0.765
Ga1 0.000 0.500 0.500
Ru1 0.500 0.500 0.000
S1 0.000 0.000 0.000
S2 0.500 0.000 0.500

Output
E_form (uncorrected) ... -1.0537 eV per atom

[15]
Computed, not measured: GaSbRu3 after structural relaxation at the PBE level of DFT.

Cell: 4.806 4.806 4.806 Å, 90.00 90.00 90.00°
Each line ends with the local moment (μB).
Positions (direct):
Sb1 0.000 0.000 0.000  -0.05
Ga1 0.500 0.500 0.500  -0.04
Ru1 0.000 0.500 0.000  0.71
Ru2 0.000 0.000 0.500  0.86
Ru3 0.500 0.000 0.000  0.56

Output
E_form (uncorrected) ... 1.5067 eV per atom
ΔE to the lowest computed polymorph ... 504 meV/atom

[16]
Computed, not measured: Ga5SbRu6 after structural relaxation at the PBE level of DFT.

Cell: 4.335 6.144 7.513 Å, 114.14 106.80 90.00°
Positions (direct):
Sb1 0.000 0.000 0.000
Ga1 0.670 0.171 0.341
Ga2 0.333 0.333 0.666
Ga3 0.000 0.500 0.000
Ga4 0.667 0.667 0.334
Ga5 0.330 0.829 0.659
Ru1 0.833 0.582 0.665
Ru2 0.833 0.084 0.665
Ru3 0.500 0.746 0.000
Ru4 0.500 0.254 0.000
Ru5 0.167 0.916 0.335
Ru6 0.167 0.418 0.335

Output
E_form (uncorrected) ... -0.2682 eV per atom

[17]
Computed, not measured: GaSbRu3 after structural relaxation at the PBE level of DFT.

Cell: 4.528 4.528 4.528 Å, 90.00 90.00 90.00°
Positions (direct):
Sb1 0.500 0.500 0.500
Ga1 0.000 0.000 0.000
Ru1 0.000 0.500 0.000
Ru2 0.000 0.000 0.500
Ru3 0.500 0.000 0.000

Output
E_form (uncorrected) ... 1.0023 eV per atom
ΔE to the lowest computed polymorph ... 0 meV/atom

[18]
Computed, not measured: GaSbRu2 after structural relaxation at the PBE level of DFT.

Cell: 5.706 5.706 6.930 Å, 65.69 65.69 90.00°
Positions (direct):
Sb1 0.000 0.000 0.000
Sb2 0.750 0.250 0.500
Ga1 0.500 0.500 0.000
Ga2 0.250 0.750 0.500
Ru1 0.607 0.125 0.250
Ru2 0.143 0.625 0.250
Ru3 0.375 0.393 0.750
Ru4 0.875 0.857 0.750

Output
E_form (uncorrected) ... 0.6865 eV per atom

[19]
Computed, not measured: GaSbRu2 after structural relaxation at the PBE level of DFT.

Cell: 3.158 3.158 6.251 Å, 90.00 90.00 90.00°
Positions (direct):
Sb1 0.500 0.500 0.000
Ga1 0.500 0.500 0.500
Ru1 0.000 0.000 0.741
Ru2 0.000 0.000 0.259

Output
E_form (uncorrected) ... -0.1555 eV per atom

[20]
Computed, not measured: GaSbRu2 after structural relaxation at the PBE level of DFT.

Cell: 3.162 4.437 4.437 Å, 90.00 90.00 90.00°
Positions (direct):
Sb1 0.500 0.500 0.500
Ga1 0.500 0.000 0.000
Ru1 0.000 0.000 0.500
Ru2 0.000 0.500 0.000

Output
E_form (uncorrected) ... -0.1582 eV per atom

[21]
Computed, not measured: Ta2GaSbRu after structural relaxation at the PBE level of DFT.

Cell: 4.733 4.910 4.733 Å, 90.00 90.00 90.00°
Positions (direct):
Sb1 0.000 0.500 0.000
Ru1 0.500 0.500 0.500
Ga1 0.000 0.000 0.000
Ta1 0.000 0.000 0.500
Ta2 0.500 0.000 0.000

Output
E_form (uncorrected) ... 1.6331 eV per atom

[22]
Computed, not measured: GaSbTe2Ru after structural relaxation at the PBE level of DFT.

Cell: 5.422 5.422 4.972 Å, 90.00 90.00 90.00°
Positions (direct):
Sb1 0.000 0.000 0.500
Te1 0.000 0.500 0.000
Te2 0.500 0.000 0.000
Ga1 0.500 0.500 0.500
Ru1 0.000 0.000 0.000

Output
E_form (uncorrected) ... 0.4055 eV per atom
ΔE to the lowest computed polymorph ... 0 meV/atom

[23]
Computed, not measured: GaSb2TeRu after structural relaxation at the PBE level of DFT.

Cell: 5.187 5.187 5.295 Å, 90.00 90.00 90.00°
Each line ends with the local moment (μB).
Positions (direct):
Sb1 0.000 0.500 0.000  -0.07
Sb2 0.500 0.000 0.000  -0.07
Te1 0.000 0.000 0.500  -0.04
Ga1 0.000 0.000 0.000  -0.02
Ru1 0.500 0.500 0.500  2.03

Output
E_form (uncorrected) ... 1.2205 eV per atom
ΔE to the lowest computed polymorph ... 832 meV/atom

[24]
Computed, not measured: GaSbTe2Ru after structural relaxation at the PBE level of DFT.

Cell: 5.313 4.656 5.313 Å, 90.00 90.00 90.00°
Positions (direct):
Sb1 0.500 0.500 0.500
Te1 0.000 0.000 0.500
Te2 0.500 0.000 0.000
Ga1 0.000 0.000 0.000
Ru1 0.000 0.500 0.000

Output
E_form (uncorrected) ... 0.8650 eV per atom
ΔE to the lowest computed polymorph ... 460 meV/atom

[25]
Computed, not measured: GaSb2TeRu after structural relaxation at the PBE level of DFT.

Cell: 5.002 5.002 5.850 Å, 90.00 90.00 90.00°
Positions (direct):
Sb1 0.000 0.500 0.000
Sb2 0.500 0.000 0.000
Te1 0.000 0.000 0.500
Ga1 0.500 0.500 0.500
Ru1 0.000 0.000 0.000

Output
E_form (uncorrected) ... 0.3882 eV per atom
ΔE to the lowest computed polymorph ... 0 meV/atom

[26]
Computed, not measured: GaSbTe2Ru after structural relaxation at the PBE level of DFT.

Cell: 5.327 5.327 5.138 Å, 90.00 90.00 90.00°
Each line ends with the local moment (μB).
Positions (direct):
Sb1 0.000 0.000 0.500  -0.12
Te1 0.000 0.500 0.000  -0.04
Te2 0.500 0.000 0.000  -0.04
Ga1 0.000 0.000 0.000  -0.02
Ru1 0.500 0.500 0.500  2.29

Output
E_form (uncorrected) ... 1.1743 eV per atom
ΔE to the lowest computed polymorph ... 769 meV/atom

[27]
Computed, not measured: Tl2GaSbRu after structural relaxation at the PBE level of DFT.

Cell: 5.339 4.731 5.339 Å, 90.00 90.00 90.00°
Each line ends with the local moment (μB).
Positions (direct):
Sb1 0.500 0.500 0.500  0.00
Tl1 0.000 0.000 0.500  0.00
Tl2 0.500 0.000 0.000  0.00
Ga1 0.000 0.000 0.000  -0.01
Ru1 0.000 0.500 0.000  0.08

Output
E_form (uncorrected) ... 0.7616 eV per atom

Number 1: VASP energy -85.82 eV per cell. Number 2: VASP energy -21.11 eV per cell. Number 3: VASP energy -19.65 eV per cell. Number 4: VASP energy -19.80 eV per cell. Number 5: VASP energy -18.17 eV per cell. Number 6: VASP energy -17.89 eV per cell. Number 7: VASP energy -34.57 eV per cell. Number 8: VASP energy -21.83 eV per cell. Number 9: VASP energy -23.25 eV per cell. Number 10: VASP energy -41.62 eV per cell. Number 11: VASP energy -37.11 eV per cell. Number 12: VASP energy -42.61 eV per cell. Number 13: VASP energy -24.65 eV per cell. Number 14: VASP energy -58.67 eV per cell. Number 15: VASP energy -27.44 eV per cell. Number 16: VASP energy -78.13 eV per cell. Number 17: VASP energy -29.97 eV per cell. Number 18: VASP energy -45.91 eV per cell. Number 19: VASP energy -26.32 eV per cell. Number 20: VASP energy -26.33 eV per cell. Number 21: VASP energy -31.97 eV per cell. Number 22: VASP energy -20.68 eV per cell. Number 23: VASP energy -17.59 eV per cell. Number 24: VASP energy -18.38 eV per cell. Number 25: VASP energy -21.75 eV per cell. Number 26: VASP energy -16.84 eV per cell. Number 27: VASP energy -17.35 eV per cell.